Material: AcPrNdGa
Method: DFT, GGA-PBE
State: optimized geometry

a b c (Å): 7.9508 7.9508 7.9508
angles (deg): 90.00 90.00 90.00
Space group F-43m (No. 216)
One atom of each set of equivalent atoms:
Ac 0.0000 0.0000 0.0000 [4 per cell]
Pr 0.2500 0.2500 0.2500 [4 per cell]
Nd 0.2500 0.2500 0.7500 [4 per cell]
Ga 0.0000 0.0000 0.5000 [4 per cell]

mass density = 7.69 g/cm³
calculated total energy = -4.1722 eV/atom
formation enthalpy at 0 K = -0.01 eV per formula unit
total magnetic moment = 0.0 μB per formula unit

***

Material: UZnFeRu
Method: DFT, GGA-PBE
State: optimized geometry

a b c (Å): 6.3239 6.3239 6.3239
angles (deg): 90.00 90.00 90.00
Space group F-43m (No. 216)
One atom of each set of equivalent atoms:
U 0.0000 0.0000 0.0000 [4 per cell]
Zn 0.0000 0.0000 0.5000 [4 per cell]
Fe 0.2500 0.2500 0.2500 [4 per cell]
Ru 0.2500 0.2500 0.7500 [4 per cell]

mass density = 12.09 g/cm³
calculated total energy = -7.6226 eV/atom
formation enthalpy at 0 K = -0.19 eV per formula unit
total magnetic moment = 0.5 μB per formula unit

***

Material: Tb3Sm6TmTh2
Method: DFT, GGA-PBE
State: optimized geometry

a b c (Å): 6.2187 10.7573 11.9487
angles (deg): 90.00 100.00 90.00
Space group C2/m (No. 12)
One atom of each set of equivalent atoms:
Tb 0.0000 0.0000 0.0000 [2 per cell]
Tb 0.0000 0.3333 0.0000 [4 per cell]
Sm 0.2468 0.0000 0.7477 [4 per cell]
Sm 0.2499 0.1677 0.2528 [8 per cell]
Tm 0.0000 0.5000 0.5000 [2 per cell]
Th 0.0000 0.1663 0.5000 [4 per cell]

mass density = 8.49 g/cm³
calculated total energy = -5.0946 eV/atom
formation enthalpy at 0 K = 0.38 eV per formula unit
total magnetic moment = 0.0 μB per formula unit